1.
Here is an optimized crystal structure of GdPaPd2 from Alexandria via LeMat-Bulk. Energies are from PBE.

Structure (extended XYZ):
```
4
Lattice="3.4801 0.0000 0.0000 0.0000 3.4801 0.0000 0.0000 0.0000 7.2875" Properties=species:S:1:pos:R:3 pbc="T T T"
Gd 0.0000 0.0000 0.0000
Pa 0.0000 0.0000 3.6438
Pd 1.7400 1.7400 1.9093
Pd 1.7400 1.7400 5.3783
```

## Properties
Calculated density in g cm⁻³: 11.31
Total magnetization in μB per atom: 1.640
Distance to the lowest polymorph of the same formula in eV per formula unit: 0.00

---

2.
Here is an optimized crystal structure of Cr2HgPb from Alexandria via LeMat-Bulk. Energies are from PBE.

Structure (extended XYZ):
```
4
Lattice="0.0000 3.4458 3.4458 3.4458 0.0000 3.4458 3.4458 3.4458 0.0000" Properties=species:S:1:pos:R:3 pbc="T T T"
Cr 1.7229 1.7229 1.7229
Cr 5.1686 5.1686 5.1686
Hg 0.0000 0.0000 0.0000
Pb 3.4458 3.4458 3.4458
```

## Properties
Calculated density in g cm⁻³: 10.39
Total magnetization in μB per atom: 2.011
Distance to the lowest polymorph of the same formula in eV per formula unit: 0.74

---

3.
Here is an optimized crystal structure of Ni2AuSe3 from Alexandria via LeMat-Bulk. Energies are from PBE.

Structure (extended XYZ):
```
12
Lattice="7.1026 0.0000 0.0000 -3.5513 6.1510 0.0000 0.0000 0.0000 5.0407" Properties=species:S:1:pos:R:3 pbc="T T T"
Ni 0.0000 0.0000 0.0000
Ni -1.7756 3.0755 0.0000
Ni 3.5513 0.0000 0.0000
Ni 1.7756 3.0755 0.0000
Au 0.0000 4.1007 1.7389
Au 3.5513 2.0503 3.3018
Se 0.0000 2.1467 3.8618
Se -1.6922 5.0777 3.8618
Se 1.8591 1.0733 1.1789
Se 1.6922 5.0777 3.8618
Se 5.2435 1.0733 1.1789
Se 3.5513 4.0043 1.1789
```

## Properties
Calculated density in g cm⁻³: 8.31
Total magnetization in μB per atom: 0.000
Electronic total energy in eV per atom: -4.41

---

4.
Here is an optimized crystal structure of CuGe2Ru from Alexandria via LeMat-Bulk. Energies are from PBE.

Structure (extended XYZ):
```
4
Lattice="1.5007 0.8664 8.4534 -1.5007 0.8664 8.4534 0.0000 -1.7329 8.4534" Properties=species:S:1:pos:R:3 pbc="T T T"
Cu 0.0000 0.0000 0.0000
Ge 0.0000 0.0000 2.3692
Ge 0.0000 0.0000 22.9909
Ru 0.0000 0.0000 12.6801
```

## Properties
Calculated density in g cm⁻³: 7.80
Total magnetization in μB per atom: 0.000
Distance to the lowest polymorph of the same formula in eV per formula unit: 0.00

---

5.
Here is an optimized crystal structure of Nd4Ho5In from Alexandria via LeMat-Bulk. Energies are from PBE.

Structure (extended XYZ):
```
10
Lattice="-5.3722 5.3722 2.9118 5.3722 -5.3722 2.9118 5.3722 5.3722 -2.9118" Properties=species:S:1:pos:R:3 pbc="T T T"
Nd 3.3420 0.0000 0.0000
Nd 7.4024 0.0000 0.0000
Nd 0.0000 3.3420 0.0000
Nd 0.0000 7.4024 0.0000
Ho 0.0000 0.0000 1.2146
Ho 3.3930 3.3930 -0.0128
Ho 1.9792 -1.9792 2.8990
Ho -1.9792 1.9792 2.8990
Ho 1.9792 1.9792 2.8990
In 0.0000 0.0000 4.2170
```

## Properties
Calculated density in g cm⁻³: 7.49
Total magnetization in μB per atom: 0.000
Distance to the lowest polymorph of the same formula in eV per formula unit: 1.56

---

6.
Here is an optimized crystal structure of KCl4F from Alexandria via LeMat-Bulk. Energies are from PBE.

Structure (extended XYZ):
```
12
Lattice="-3.4119 3.4119 6.9810 3.4119 -3.4119 6.9810 3.4119 3.4119 -6.9810" Properties=species:S:1:pos:R:3 pbc="T T T"
K 3.4119 1.7060 1.7453
K 0.0000 1.7060 5.2358
Cl 2.3553 1.7060 -1.3780
Cl 4.4686 1.7060 -1.3780
Cl 0.0000 0.6493 2.1125
Cl 3.4119 0.6493 4.8685
Cl 0.0000 2.7626 2.1125
Cl 3.4119 2.7626 4.8685
Cl -1.0567 1.7060 8.3590
Cl 1.0567 1.7060 8.3590
F 3.4119 -1.7060 5.2358
F 0.0000 5.1179 1.7453
```

## Properties
Calculated density in g cm⁻³: 2.04
Total magnetization in μB per atom: 0.000
Electronic total energy in eV per atom: -2.53

---

7.
Here is an optimized crystal structure of ZnCrSe4 from Alexandria via LeMat-Bulk. Energies are from PBE.

Structure (extended XYZ):
```
6
Lattice="0.0000 4.0400 4.0400 4.0400 0.0000 4.0400 4.0400 4.0400 0.0000" Properties=species:S:1:pos:R:3 pbc="T T T"
Zn 0.0000 0.0000 0.0000
Cr 6.0600 6.0600 6.0600
Se 3.0272 3.0272 3.0272
Se 5.0528 5.0528 3.0272
Se 5.0528 3.0272 5.0528
Se 3.0272 5.0528 5.0528
```

## Properties
Calculated density in g cm⁻³: 5.46
Total magnetization in μB per atom: 0.727
Electronic total energy in eV per atom: -3.51

---

8.
Here is an optimized crystal structure of Tb5Hg4Au from Alexandria via LeMat-Bulk. Energies are from PBE.

Structure (extended XYZ):
```
10
Lattice="3.7034 0.0000 0.0000 0.0000 3.7034 0.0000 0.0000 0.0000 18.6492" Properties=species:S:1:pos:R:3 pbc="T T T"
Tb 0.0000 0.0000 0.0000
Tb 0.0000 0.0000 3.7968
Tb 0.0000 0.0000 7.5874
Tb 0.0000 0.0000 11.0618
Tb 0.0000 0.0000 14.8525
Hg 1.8517 1.8517 1.8928
Hg 1.8517 1.8517 5.6342
Hg 1.8517 1.8517 13.0150
Hg 1.8517 1.8517 16.7564
Au 1.8517 1.8517 9.3246
```

## Properties
Calculated density in g cm⁻³: 11.65
Total magnetization in μB per atom: 0.003
Electronic total energy in eV per atom: -3.32

---

9.
Here is an optimized crystal structure of CaAc2Tl from Alexandria via LeMat-Bulk. Energies are from PBE.

Structure (extended XYZ):
```
4
Lattice="4.3276 0.0000 0.0000 0.0000 4.3276 0.0000 0.0000 0.0000 8.1911" Properties=species:S:1:pos:R:3 pbc="T T T"
Ca 0.0000 0.0000 0.0000
Ac 2.1638 2.1638 2.2322
Ac 2.1638 2.1638 5.9590
Tl 0.0000 0.0000 4.0956
```

## Properties
Calculated density in g cm⁻³: 7.56
Total magnetization in μB per atom: 0.000
Distance to the lowest polymorph of the same formula in eV per formula unit: 0.00

---

10.
Here is an optimized crystal structure of Ca2LaN2 from Alexandria via LeMat-Bulk. Energies are from PBE.

Structure (extended XYZ):
```
5
Lattice="1.8427 1.0639 9.4981 -1.8427 1.0639 9.4981 0.0000 -2.1278 9.4981" Properties=species:S:1:pos:R:3 pbc="T T T"
Ca 0.0000 0.0000 6.7093
Ca 0.0000 0.0000 21.7850
La 0.0000 0.0000 0.0000
N 0.0000 0.0000 11.0418
N 0.0000 0.0000 17.4525
```

## Properties
Calculated density in g cm⁻³: 3.67
Total magnetization in μB per atom: 0.000
Electronic total energy in eV per atom: -6.09

---

11.
Here is an optimized crystal structure of TiAg3Ir from Alexandria via LeMat-Bulk. Energies are from PBE.

Structure (extended XYZ):
```
5
Lattice="4.7846 0.0000 0.0000 0.0000 4.7846 0.0000 0.0000 0.0000 4.7846" Properties=species:S:1:pos:R:3 pbc="T T T"
Ti 0.0000 0.0000 0.0000
Ag 0.0000 0.0000 2.3923
Ag 0.0000 2.3923 0.0000
Ag 2.3923 0.0000 0.0000
Ir 2.3923 2.3923 2.3923
```

## Properties
Calculated density in g cm⁻³: 8.55
Total magnetization in μB per atom: 0.359
Distance to the lowest polymorph of the same formula in eV per formula unit: 1.58

---

What is the formula in the second record?
Cr2HgPb

---

What is the total magnetization in the eighth record?
0.003 μB per atom

---

What is the total magnetization in the tenth record?
0.000 μB per atom